[1]
A relaxed structure of SrNiO2. Source: the Alexandria database, functional GGA+U.

Cell lengths 6.674, 6.674, 6.674 Å; angles 28.43, 28.43, 28.43 degrees
Atoms (fractional coordinates):
Sr1 0.000 0.000 0.000
Ni1 0.500 0.500 0.500
O1 0.116 0.116 0.116
O2 0.884 0.884 0.884

Summary:
- DFT total energy: -4.315 eV/atom
- Symmetry: No. 166

---

[2]
A relaxed structure of SrNiO2. Source: the Alexandria database, functional GGA+U.

Cell lengths 6.381, 6.381, 6.381 Å; angles 135.02, 135.02, 65.50 degrees
Atoms (fractional coordinates):
Sr1 0.000 0.000 0.000
Sr2 0.750 0.250 0.500
Ni1 0.250 0.750 0.500
Ni2 0.500 0.500 0.000
O1 0.200 0.625 0.075
O2 0.375 0.450 0.575
O3 0.550 0.125 0.925
O4 0.875 0.800 0.425

Summary:
- DFT total energy: -5.199 eV/atom
- Symmetry: No. 122

---

[3]
A relaxed structure of SrNiO3. Source: the Alexandria database, functional GGA+U.

Cell lengths 11.668, 11.668, 11.668 Å; angles 162.05, 162.05, 25.49 degrees
Atoms (fractional coordinates):
Sr1 0.000 0.000 0.000
Sr2 0.750 0.250 0.500
Ni1 0.138 0.638 0.500
Ni2 0.362 0.862 0.500
O1 0.316 0.316 0.000
O2 0.393 0.091 0.302
O3 0.684 0.684 0.000
O4 0.789 0.091 0.698
O5 0.909 0.211 0.302
O6 0.909 0.607 0.698

Summary:
- DFT total energy: -4.717 eV/atom
- Symmetry: No. 119